Compound: RbUCoO5
Source: Alexandria
Functional: PBE+U
Structure: optimized geometry

Structure (CIF):
```
data_RbUCoO5
_space_group_name_H-M_alt 'P 1'
_space_group_IT_number 1
_cell_length_a 6.314
_cell_length_b 6.314
_cell_length_c 8.032
_cell_angle_alpha 107.16
_cell_angle_beta 107.16
_cell_angle_gamma 104.10
loop_
_space_group_symop_operation_xyz
'x,y,z'
loop_
_atom_site_label
_atom_site_fract_x
_atom_site_fract_y
_atom_site_fract_z
Rb1 0.084 0.916 0.750
Rb2 0.916 0.084 0.250
U1 0.000 0.500 0.000
U2 0.500 0.000 0.500
Co1 0.442 0.558 0.750
Co2 0.558 0.442 0.250
O1 0.188 0.812 0.250
O2 0.226 0.343 0.115
O3 0.241 0.595 0.879
O4 0.343 0.226 0.615
O5 0.405 0.759 0.621
O6 0.595 0.241 0.379
O7 0.657 0.774 0.385
O8 0.759 0.405 0.121
O9 0.774 0.657 0.885
O10 0.812 0.188 0.750
```

magnetization	8.1	μB per cell
symmetry	C2/c (15)
energy	-7.452	eV/atom